Entry 1:
Density functional theory data (PBE) for a relaxed structure of ErPa2Rh3.

E_form	-0.84	eV/atom
ρ	12.3	g cm⁻³
space-group type	No. 2
N(E_F)	11.83	states/eV/cell
total DFT energy (no corrections)	-101.34	eV/cell

```
ErPa2Rh3
1.0
5.607 0.000 0.000
1.306 5.712 0.000
2.168 2.051 7.927
Er Pa Rh
2 4 6
Direct
0.047 0.210 0.299
0.953 0.790 0.701
0.286 0.766 0.041
0.375 0.230 0.626
0.625 0.770 0.374
0.714 0.234 0.959
0.149 0.678 0.375
0.209 0.299 0.939
0.463 0.711 0.719
0.537 0.289 0.281
0.791 0.701 0.061
0.851 0.322 0.625
```

---

Entry 2:
Density functional theory data (PBE) for a relaxed structure of Er2PaRh3.

E_form	-0.82	eV/atom
ρ	12.0	g cm⁻³
space-group type	No. 164
N(E_F)	4.76	states/eV/cell
total DFT energy (no corrections)	-45.62	eV/cell

```
Er2PaRh3
1.0
4.830 0.000 0.000
-2.415 4.183 0.000
0.000 0.000 5.993
Er Pa Rh
2 1 3
Direct
0.333 0.667 0.154
0.667 0.333 0.846
0.000 0.000 0.500
0.000 0.000 0.000
0.333 0.667 0.632
0.667 0.333 0.368
```

---

Entry 3:
Density functional theory data (PBE) for a relaxed structure of ErPaRh4.

E_form	-0.70	eV/atom
ρ	12.6	g cm⁻³
space-group type	No. 216
N(E_F)	5.95	states/eV/cell
total DFT energy (no corrections)	-47.64	eV/cell

```
ErPaRh4
1.0
0.000 3.762 3.762
3.762 0.000 3.762
3.762 3.762 0.000
Er Pa Rh
1 1 4
Direct
0.000 0.000 0.000
0.250 0.250 0.250
0.124 0.625 0.625
0.625 0.124 0.625
0.625 0.625 0.124
0.625 0.625 0.625
```

---

Entry 4:
Density functional theory data (PBE) for a relaxed structure of Er2PaRh3.

E_form	-0.83	eV/atom
ρ	11.5	g cm⁻³
space-group type	No. 15
N(E_F)	8.36	states/eV/cell
total DFT energy (no corrections)	-91.28	eV/cell

```
Er2PaRh3
1.0
6.787 -2.783 0.000
6.787 2.783 0.000
-1.639 0.000 6.669
Er Pa Rh
4 2 6
Direct
0.076 0.282 0.141
0.282 0.076 0.641
0.718 0.924 0.359
0.924 0.718 0.859
0.387 0.613 0.250
0.613 0.387 0.750
0.074 0.926 0.750
0.248 0.454 0.494
0.454 0.248 0.994
0.546 0.752 0.006
0.752 0.546 0.506
0.926 0.074 0.250
```

---

Entry 5:
Density functional theory data (PBE) for a relaxed structure of ErPaRh.

E_form	-0.46	eV/atom
ρ	12.1	g cm⁻³
space-group type	No. 107
N(E_F)	3.96	states/eV/cell
total DFT energy (no corrections)	-22.80	eV/cell

```
ErPaRh
1.0
-1.774 1.774 5.464
1.774 -1.774 5.464
1.774 1.774 -5.464
Er Pa Rh
1 1 1
Direct
0.000 0.000 0.000
0.298 0.298 0.000
0.682 0.682 0.000
```

---

Entry 6:
Density functional theory data (PBE) for a relaxed structure of Er2Pa2Rh5.

E_form	-0.70	eV/atom
ρ	11.4	g cm⁻³
space-group type	No. 64
N(E_F)	10.64	states/eV/cell
total DFT energy (no corrections)	-142.38	eV/cell

```
Er2Pa2Rh5
1.0
6.898 -3.691 0.000
6.898 3.691 0.000
0.000 0.000 7.505
Er Pa Rh
4 4 10
Direct
0.203 0.203 0.000
0.297 0.297 0.500
0.703 0.703 0.500
0.797 0.797 0.000
0.160 0.840 0.661
0.340 0.660 0.161
0.660 0.340 0.839
0.840 0.160 0.339
0.000 0.000 0.000
0.019 0.730 0.352
0.230 0.519 0.852
0.270 0.981 0.352
0.481 0.770 0.852
0.500 0.500 0.500
0.519 0.230 0.148
0.730 0.019 0.648
0.770 0.481 0.148
0.981 0.270 0.648
```

---

Entry 7:
Density functional theory data (PBE) for a relaxed structure of ErPaRh4.

E_form	-0.56	eV/atom
ρ	11.1	g cm⁻³
space-group type	No. 47
N(E_F)	2.86	states/eV/cell
total DFT energy (no corrections)	-46.80	eV/cell

```
ErPaRh4
1.0
3.602 0.000 0.000
0.000 4.352 0.000
0.000 0.000 7.699
Er Pa Rh
1 1 4
Direct
0.000 0.000 0.000
0.500 0.500 0.500
0.000 0.500 0.249
0.000 0.500 0.751
0.500 0.000 0.284
0.500 0.000 0.716
```

---

Entry 8:
Density functional theory data (PBE) for a relaxed structure of ErPa2Rh.

E_form	0.06	eV/atom
ρ	12.9	g cm⁻³
space-group type	No. 166
N(E_F)	6.55	states/eV/cell
total DFT energy (no corrections)	-30.67	eV/cell

```
ErPa2Rh
1.0
1.590 0.918 10.749
-1.590 0.918 10.749
0.000 -1.837 10.749
Er Pa Rh
1 2 1
Direct
0.000 0.000 0.000
0.096 0.096 0.096
0.904 0.904 0.904
0.500 0.500 0.500
```

---

Entry 9:
Density functional theory data (PBE) for a relaxed structure of ErPaRh4.

E_form	-0.81	eV/atom
ρ	12.6	g cm⁻³
space-group type	No. 63
N(E_F)	10.79	states/eV/cell
total DFT energy (no corrections)	-96.70	eV/cell

```
ErPaRh4
1.0
2.187 -6.490 0.000
2.187 6.490 0.000
0.000 0.000 7.535
Er Pa Rh
2 2 8
Direct
0.194 0.806 0.750
0.806 0.194 0.250
0.479 0.521 0.750
0.521 0.479 0.250
0.000 0.000 0.000
0.000 0.000 0.500
0.162 0.838 0.250
0.346 0.654 0.022
0.346 0.654 0.478
0.654 0.346 0.522
0.654 0.346 0.978
0.838 0.162 0.750
```

---

Entry 10:
Density functional theory data (PBE) for a relaxed structure of SmErPa2Rh4.

E_form	-0.70	eV/atom
ρ	11.3	g cm⁻³
space-group type	No. 42
N(E_F)	7.43	states/eV/cell
total DFT energy (no corrections)	-63.28	eV/cell

```
SmErPa2Rh4
1.0
0.000 5.464 4.182
3.823 0.000 4.182
3.823 5.464 0.000
Sm Er Pa Rh
1 1 2 4
Direct
0.000 0.000 0.000
0.585 0.585 0.415
0.231 0.231 0.269
0.731 0.731 0.769
0.092 0.483 0.908
0.238 0.704 0.296
0.483 0.092 0.517
0.704 0.238 0.762
```

---

Please write out number 1 again, unchanged.
Density functional theory data (PBE) for a relaxed structure of ErPa2Rh3.

E_form	-0.84	eV/atom
ρ	12.3	g cm⁻³
space-group type	No. 2
N(E_F)	11.83	states/eV/cell
total DFT energy (no corrections)	-101.34	eV/cell

```
ErPa2Rh3
1.0
5.607 0.000 0.000
1.306 5.712 0.000
2.168 2.051 7.927
Er Pa Rh
2 4 6
Direct
0.047 0.210 0.299
0.953 0.790 0.701
0.286 0.766 0.041
0.375 0.230 0.626
0.625 0.770 0.374
0.714 0.234 0.959
0.149 0.678 0.375
0.209 0.299 0.939
0.463 0.711 0.719
0.537 0.289 0.281
0.791 0.701 0.061
0.851 0.322 0.625
```

---

Number 8 is which compound?
ErPa2Rh

---

Among the records above, which one has the lowest total DFT energy (no corrections)?
Er2Pa2Rh5